{
  "formula": "SrH2Os",
  "functional": "PBE-GGA",
  "state": "optimized geometry",
  "lattice_angstrom": [[-2.291, 2.291, 5.217], [2.291, -2.291, 5.217], [2.291, 2.291, -5.217]],
  "species": ["Sr", "Sr", "H", "H", "H", "H", "Os", "Os"],
  "fractional_positions": [[0.000, 0.000, 0.000], [0.750, 0.250, 0.500], [0.278, 0.625, 0.153], [0.375, 0.528, 0.653], [0.472, 0.125, 0.847], [0.875, 0.722, 0.347], [0.250, 0.750, 0.500], [0.500, 0.500, 0.000]],
  "relative_energy_mev_per_atom": 0,
  "final_energy_ev_per_atom": -4.6589
}